Fe4ReIr: relaxed, PBE.

Geometry as POSCAR:
```
Fe4ReIr
1.0
4.6752 0.0000 0.0000
2.3376 4.0488 0.0000
2.3376 1.3496 3.8173
Fe Ir Re
4 1 1
direct
0.1256 0.6248 0.6248
0.6248 0.6248 0.6248
0.6248 0.1256 0.6248
0.6248 0.6248 0.1256
0.2500 0.2500 0.2500
0.0000 0.0000 0.0000
```

## Properties
DFT formation energy ... -0.1 eV per formula unit

FeRe2Ir2: relaxed, PBE.

Geometry as POSCAR:
```
FeRe2Ir2
1.0
-1.2411 -2.3418 -0.7104
5.9415 -2.9547 -0.6398
0.8100 -2.6522 7.3251
Fe Re Ir
2 4 4
direct
0.7501 0.8074 0.2131
0.2499 0.1926 0.7869
0.2500 0.8211 0.9394
0.7500 0.3308 0.5135
0.7500 0.1789 0.0606
0.2500 0.6692 0.4865
0.2502 0.4769 0.1927
0.7499 0.9271 0.6525
0.2501 0.0729 0.3475
0.7498 0.5231 0.8073
```

## Properties
Energy relative to the lowest polymorph listed for this composition ... 0.000 eV per atom
DFT formation energy ... 0.0 eV per formula unit

FeRe4Ir: relaxed, PBE.

Geometry as POSCAR:
```
FeRe4Ir
1.0
-3.0253 1.0169 3.9915
-4.8322 1.4768 -0.7669
-3.8505 -3.1550 1.1571
Fe Re Ir
1 4 1
direct
0.7500 0.7500 0.7500
0.8739 0.3754 0.3754
0.3754 0.3754 0.8739
0.3754 0.8739 0.3754
0.3754 0.3754 0.3754
0.0000 0.0000 0.0000
```

## Properties
DFT formation energy ... 3.1 eV per formula unit

FeReIr6: relaxed, PBE.

Geometry as POSCAR:
```
FeReIr6
1.0
3.8573 0.0000 0.0000
0.0000 3.8573 0.0000
0.0000 0.0000 7.7134
Fe Re Ir
1 1 6
direct
0.0000 0.0000 0.0000
0.0000 0.0000 0.5000
0.5000 0.5000 0.0000
0.5000 0.5000 0.5000
0.5000 0.0000 0.2511
0.5000 0.0000 0.7489
0.0000 0.5000 0.2511
0.0000 0.5000 0.7489
```

## Properties
DFT formation energy ... -0.9 eV per formula unit

Fe5ReIr6: relaxed, PBE.

Geometry as POSCAR:
```
Fe5ReIr6
1.0
3.6698 -0.0028 -1.0285
-2.6029 6.1815 -2.2430
0.0029 0.0805 7.0718
Re Ir Fe
1 6 5
direct
0.0000 0.0000 0.0000
0.2507 0.0827 0.4187
0.7493 0.5813 0.9173
0.7515 0.2515 0.2515
0.2485 0.7485 0.7485
0.2507 0.4187 0.0827
0.7493 0.9173 0.5813
0.5000 0.1631 0.8369
0.0000 0.3328 0.6672
0.5000 0.5000 0.5000
0.0000 0.6672 0.3328
0.5000 0.8369 0.1631
```

## Properties
DFT formation energy ... -0.8 eV per formula unit

Fe3ReIr6: relaxed, PBE.

Geometry as POSCAR:
```
Fe3ReIr6
1.0
3.8408 0.0000 0.0000
0.0000 8.3376 -1.2917
0.0000 1.1431 8.4922
Fe Re Ir
6 2 12
direct
0.2500 0.5507 0.3964
0.7500 0.4493 0.6036
0.2500 0.3514 0.8032
0.7500 0.6486 0.1968
0.2500 0.7457 0.9994
0.7500 0.2543 0.0006
0.2500 0.9473 0.6019
0.7500 0.0527 0.3981
0.2500 0.4528 0.0995
0.7500 0.5472 0.9005
0.2500 0.1527 0.2015
0.7500 0.8473 0.7985
0.2500 0.6434 0.6965
0.7500 0.3566 0.3035
0.2500 0.2520 0.5026
0.7500 0.7480 0.4974
0.2500 0.8487 0.2986
0.7500 0.1513 0.7014
0.2500 0.0547 0.9010
0.7500 0.9453 0.0990
```

## Properties
DFT formation energy ... -0.8 eV per formula unit

Fe3ReIr4: relaxed, PBE.

Geometry as POSCAR:
```
Fe3ReIr4
1.0
-2.3115 0.6563 1.2380
-1.0690 -4.5253 0.4066
5.0324 -1.3384 7.1268
Re Ir Fe
1 4 3
direct
0.5000 0.0000 0.0000
0.3745 0.3773 0.7499
0.6255 0.6227 0.2501
0.1271 0.1272 0.2527
0.8729 0.8728 0.7473
0.0000 0.5000 0.0000
0.7515 0.2509 0.5031
0.2485 0.7491 0.4969
```

## Properties
DFT formation energy ... -0.2 eV per formula unit

Fe3ReIr: relaxed, PBE.

Geometry as POSCAR:
```
Fe3ReIr
1.0
4.3834 0.0000 0.0000
0.0000 4.3834 0.0000
0.0000 0.0000 4.3834
Re Ir Fe
1 1 3
direct
0.0000 0.0000 0.0000
0.5000 0.5000 0.5000
0.0000 0.5000 0.0000
0.0000 0.0000 0.5000
0.5000 0.0000 0.0000
```

## Properties
Energy relative to the lowest polymorph listed for this composition ... 0.000 eV per atom
DFT formation energy ... 8.6 eV per formula unit

Fe3ReIr: relaxed, PBE.

Geometry as POSCAR:
```
Fe3ReIr
1.0
4.5088 0.0000 0.0000
0.0000 4.5088 0.0000
0.0000 0.0000 4.5088
Re Ir Fe
1 1 3
direct
0.5000 0.5000 0.5000
0.0000 0.0000 0.0000
0.0000 0.5000 0.0000
0.0000 0.0000 0.5000
0.5000 0.0000 0.0000
```

## Properties
Energy relative to the lowest polymorph listed for this composition ... 0.162 eV per atom
DFT formation energy ... 9.4 eV per formula unit

Fe2ReIr2: relaxed, PBE.

Geometry as POSCAR:
```
Fe2ReIr2
1.0
-4.8208 -4.2771 -2.7485
2.2582 -5.1949 4.1233
-1.7552 0.7519 1.9085
Re Ir Fe
2 4 4
direct
0.0000 0.0000 0.0000
0.5000 0.5000 0.0000
0.1771 0.6771 0.5000
0.6771 0.8229 0.5000
0.8229 0.3229 0.5000
0.3229 0.1771 0.5000
0.3817 0.8817 0.0000
0.8817 0.6183 0.0000
0.6183 0.1183 0.0000
0.1183 0.3817 0.0000
```

## Properties
Energy relative to the lowest polymorph listed for this composition ... 0.000 eV per atom
DFT formation energy ... 0.7 eV per formula unit

TiFeReIr2: relaxed, PBE.

Geometry as POSCAR:
```
TiFeReIr2
1.0
4.4152 0.0000 0.0000
0.0000 4.2344 0.0000
0.0000 0.0000 4.4152
Re Ir Fe Ti
1 2 1 1
direct
0.5000 0.5000 0.5000
0.0000 0.0000 0.5000
0.5000 0.0000 0.0000
0.0000 0.0000 0.0000
0.0000 0.5000 0.0000
```

## Properties
DFT formation energy ... 5.7 eV per formula unit

TiFeReIr: relaxed, PBE.

Geometry as POSCAR:
```
TiFeReIr
1.0
4.3204 0.0000 0.0000
2.1602 3.7416 0.0000
2.1602 1.2472 3.5276
Re Ir Fe Ti
1 1 1 1
direct
0.2500 0.2500 0.2500
0.7500 0.7500 0.7500
0.5000 0.5000 0.5000
0.0000 0.0000 0.0000
```

## Properties
DFT formation energy ... -1.0 eV per formula unit

VFeReIr2: relaxed, PBE.

Geometry as POSCAR:
```
VFeReIr2
1.0
-2.3012 1.7845 3.3597
-3.2779 -2.6873 -0.8178
1.7534 -2.9871 2.7876
Re Ir Fe V
1 2 1 1
direct
0.0000 0.5000 0.0000
0.0000 0.0000 0.5000
0.5000 0.0000 0.0000
0.0000 0.0000 0.0000
0.5000 0.5000 0.5000
```

## Properties
DFT formation energy ... 7.4 eV per formula unit

Fe2IrRh: relaxed, PBE.

Geometry as POSCAR:
```
Fe2IrRh
1.0
-3.1067 0.3613 3.2560
1.9066 -1.4213 3.8377
1.4271 3.0231 -3.0344
Fe Ir Rh
2 1 1
direct
0.0000 0.0000 0.0000
0.5000 0.5000 0.0000
0.2500 0.7500 0.5000
0.7500 0.2500 0.5000
```

## Properties
DFT formation energy ... -0.1 eV per formula unit

Fe6Ir5Rh: relaxed, PBE.

Geometry as POSCAR:
```
Fe6Ir5Rh
1.0
-2.5656 -0.1166 -2.7790
-4.7220 -3.2515 4.4956
-3.2504 5.0237 0.2194
Ir Rh Fe
5 1 6
direct
0.6665 0.5000 0.6669
0.3328 0.0000 0.3346
0.0000 0.5000 0.0000
0.6672 0.0000 0.6654
0.3335 0.5000 0.3331
0.0000 0.0000 0.0000
0.8329 0.7498 0.3344
0.8329 0.2502 0.3344
0.5000 0.2499 0.0000
0.5000 0.7501 0.0000
0.1671 0.7498 0.6656
0.1671 0.2502 0.6656
```

## Properties
DFT formation energy ... -0.3 eV per formula unit

FeIr2Rh6: relaxed, PBE.

Geometry as POSCAR:
```
FeIr2Rh6
1.0
-0.2998 -0.0991 -5.2718
-4.5847 -1.1343 -2.3633
-3.0193 5.2690 -2.5727
Fe Ir Rh
1 2 6
direct
0.3340 0.3340 0.9979
0.7323 0.7323 0.8031
0.5959 0.5959 0.2122
0.7771 0.2704 0.6821
0.2704 0.7771 0.6821
0.2704 0.2704 0.6821
0.0551 0.5755 0.3144
0.0551 0.0551 0.3144
0.5755 0.0551 0.3144
```

## Properties
Energy relative to the lowest polymorph listed for this composition ... 0.258 eV per atom
DFT formation energy ... 3.7 eV per formula unit

FeIr6Rh12: relaxed, PBE.

Geometry as POSCAR:
```
FeIr6Rh12
1.0
-3.4502 5.7717 0.2580
-4.5110 -4.3496 2.4525
4.1507 0.7032 5.2498
Fe Ir Rh
1 6 12
direct
0.0000 0.0000 0.0000
0.9032 0.3185 0.9032
0.9032 0.9032 0.3185
0.3185 0.9032 0.9032
0.0968 0.0968 0.6815
0.0968 0.6815 0.0968
0.6815 0.0968 0.0968
0.7509 0.2491 0.5000
0.3393 0.0857 0.3393
0.3393 0.3393 0.0857
0.9143 0.6607 0.6607
0.6607 0.6607 0.9143
0.6607 0.9143 0.6607
0.5000 0.7509 0.2491
0.2491 0.5000 0.7509
0.2491 0.7509 0.5000
0.5000 0.2491 0.7509
0.7509 0.5000 0.2491
0.0857 0.3393 0.3393
```

## Properties
DFT formation energy ... 4.0 eV per formula unit

FeIrRh2: relaxed, PBE.

Geometry as POSCAR:
```
FeIrRh2
1.0
4.6670 -0.0026 0.0139
3.8806 2.5927 0.0139
0.8314 0.2519 4.5810
Fe Ir Rh
1 1 2
direct
0.4984 0.4984 0.4981
0.7528 0.7528 0.7503
0.0021 0.0021 0.9942
0.2467 0.2467 0.2573
```

## Properties
DFT formation energy ... -0.1 eV per formula unit

FeIr2Rh: relaxed, PBE.

Geometry as POSCAR:
```
FeIr2Rh
1.0
4.6717 -0.0017 0.0047
3.8830 2.5976 0.0047
0.8063 0.2447 4.5794
Ir Rh Fe
2 1 1
direct
0.9991 0.9991 0.9974
0.7481 0.7481 0.7572
0.5014 0.5014 0.4929
0.2514 0.2514 0.2525
```

## Properties
DFT formation energy ... -0.1 eV per formula unit

Fe4Ir2Rh5: relaxed, PBE.

Geometry as POSCAR:
```
Fe4Ir2Rh5
1.0
2.7031 0.0000 0.0000
0.0000 6.6940 0.0628
0.0000 1.1001 8.4879
Fe Ir Rh
4 2 5
direct
0.5000 0.2613 0.5637
0.5000 0.8166 0.8904
0.5000 0.7387 0.4363
0.5000 0.1834 0.1096
0.0000 0.9179 0.6430
0.0000 0.0821 0.3570
0.0000 0.4724 0.3166
0.0000 0.8379 0.1427
0.0000 0.5000 0.0000
0.0000 0.1621 0.8573
0.0000 0.5276 0.6834
```

## Properties
DFT formation energy ... 1.2 eV per formula unit